No. 1
Sr2AlCd4Ga3, relaxed, DFT GGA-PBE; space-group type = P-4m2; ΔH_f (0 K) = -0.272 eV per atom; crystal system = tetragonal; total DFT energy (no corrections) = -2.257 eV/atom
1.0
4.6294 0.0000 0.0000
0.0000 4.6294 0.0000
0.0000 0.0000 11.4687
Sr Al Cd Ga
2 1 4 3
direct
0.0000 0.5000 0.2505 Sr
0.5000 0.0000 0.7495 Sr
0.0000 0.0000 0.5000 Al
0.0000 0.0000 0.0000 Cd
0.0000 0.5000 0.6332 Cd
0.5000 0.0000 0.3668 Cd
0.5000 0.5000 0.0000 Cd
0.0000 0.5000 0.8649 Ga
0.5000 0.0000 0.1351 Ga
0.5000 0.5000 0.5000 Ga

No. 2
Sr2Al4CdGa3, relaxed, DFT GGA-PBE; space-group type = P-4m2; ΔH_f (0 K) = -0.315 eV per atom; crystal system = tetragonal; total DFT energy (no corrections) = -3.148 eV/atom
1.0
4.4759 0.0000 0.0000
0.0000 4.4759 0.0000
0.0000 0.0000 11.1368
Sr Al Cd Ga
2 4 1 3
direct
0.0000 0.5000 0.2472 Sr
0.5000 0.0000 0.7528 Sr
0.0000 0.0000 0.0000 Al
0.0000 0.5000 0.6377 Al
0.5000 0.0000 0.3623 Al
0.5000 0.5000 0.0000 Al
0.0000 0.0000 0.5000 Cd
0.0000 0.5000 0.8682 Ga
0.5000 0.0000 0.1318 Ga
0.5000 0.5000 0.5000 Ga

No. 3
AlCdGa2Te6, relaxed, DFT GGA-PBE; space-group type = C2/c; crystal system = monoclinic; total DFT energy (no corrections) = -3.210 eV/atom
1.0
7.1504 -7.2075 0.0000
7.1504 7.2075 0.0000
-3.1197 0.0000 6.7198
Al Cd Ga Te
2 2 4 12
direct
0.1713 0.8287 0.7500 Al
0.8287 0.1713 0.2500 Al
0.1787 0.8213 0.2500 Cd
0.8213 0.1787 0.7500 Cd
0.2298 0.3986 0.3006 Ga
0.3986 0.2298 0.8006 Ga
0.6014 0.7702 0.1994 Ga
0.7702 0.6014 0.6994 Ga
0.0452 0.1761 0.1110 Te
0.0955 0.6214 0.4069 Te
0.1761 0.0452 0.6110 Te
0.3365 0.4562 0.0392 Te
0.3786 0.9045 0.0931 Te
0.4562 0.3365 0.5392 Te
0.5438 0.6635 0.4608 Te
0.6214 0.0955 0.9069 Te
0.6635 0.5438 0.9608 Te
0.8239 0.9548 0.3890 Te
0.9045 0.3786 0.5931 Te
0.9548 0.8239 0.8890 Te